CoBiOF2: optimized geometry, PBE with a Hubbard U.

a = 4.5647 Å, b = 4.5647 Å, c = 4.5039 Å
α = 90.00°, β = 90.00°, γ = 90.00°
With the nearest neighbours (Å) after each atom.
Sites, in units of the cell vectors:
F  0.5000  0.0000  0.0000  2 Bi 2.28
O  0.0000  0.0000  0.5000  2 Bi 2.25
Co  0.5000  0.5000  0.5000  8 F 3.21, 4 O 3.23
F  0.0000  0.5000  0.0000  2 Bi 2.28
Bi  0.0000  0.0000  0.0000  2 O 2.25, 4 F 2.28

## Properties
**E above lowest polymorph**: 275 meV per atom
**Space-group type**: P4/mmm, No. 123